1.
VASP calculation (PBE) on a relaxed structure of LiAlFeRe.

Values from the calculation:
The value obtained for the uncorrected energy is -6.66 eV per atom.

Cell lengths 4.085, 4.085, 4.085 Å; angles 60.00, 60.00, 60.00 degrees
Positions (direct):
Al 0.000 0.000 0.000
Fe 0.750 0.750 0.750
Li 0.250 0.250 0.250
Re 0.500 0.500 0.500

2.
VASP calculation (PBE) on a relaxed structure of CsPrGaSe3.

Values from the calculation:
The value obtained for the uncorrected energy is -4.45 eV per atom.

Cell lengths 8.127, 8.127, 11.458 Å; angles 90.00, 90.00, 146.58 degrees
Positions (direct):
Cs 0.256 0.744 0.250
Cs 0.744 0.256 0.750
Ga 0.520 0.480 0.250
Ga 0.480 0.520 0.750
Pr 0.000 0.000 0.000
Pr 0.000 0.000 0.500
Se 0.617 0.383 0.069
Se 0.946 0.054 0.250
Se 0.617 0.383 0.431
Se 0.383 0.617 0.569
Se 0.054 0.946 0.750
Se 0.383 0.617 0.931

3.
VASP calculation (PBE) on a relaxed structure of PmGdS3.

Values from the calculation:
The value obtained for the uncorrected energy is -6.34 eV per atom.

Cell lengths 4.443, 4.443, 7.197 Å; angles 90.00, 90.00, 120.00 degrees
Positions (direct):
Gd 0.000 0.000 0.756
Pm 0.333 0.667 0.238
S 0.000 0.000 0.363
S 0.333 0.667 0.645
S 0.667 0.333 0.997

4.
VASP calculation (PBE) on a relaxed structure of LiGaRe.

Values from the calculation:
The value obtained for the uncorrected energy is -4.84 eV per atom.

Cell lengths 4.208, 4.208, 4.208 Å; angles 60.00, 60.00, 60.00 degrees
Positions (direct):
Ga 0.250 0.250 0.250
Li 0.750 0.750 0.750
Re 0.000 0.000 0.000

Please write out number 4 again, unchanged.
VASP calculation (PBE) on a relaxed structure of LiGaRe.

Values from the calculation:
The value obtained for the uncorrected energy is -4.84 eV per atom.

Cell lengths 4.208, 4.208, 4.208 Å; angles 60.00, 60.00, 60.00 degrees
Positions (direct):
Ga 0.250 0.250 0.250
Li 0.750 0.750 0.750
Re 0.000 0.000 0.000

Repeat the first record exactly.
VASP calculation (PBE) on a relaxed structure of LiAlFeRe.

Values from the calculation:
The value obtained for the uncorrected energy is -6.66 eV per atom.

Cell lengths 4.085, 4.085, 4.085 Å; angles 60.00, 60.00, 60.00 degrees
Positions (direct):
Al 0.000 0.000 0.000
Fe 0.750 0.750 0.750
Li 0.250 0.250 0.250
Re 0.500 0.500 0.500

> Among the records above, which one has the lowest uncorrected energy?

LiAlFeRe

> Which value of uncorrected energy does entry 3 give?

-6.34 eV per atom